Record 1
DFT (PBE) results for HOsCN after structural relaxation.

a b c (Å): 3.515 3.379 4.068
angles (deg): 90.00 109.11 90.00
Atoms (fractional coordinates):
H (0.000, 0.000, 0.000)
Os (0.869, 0.500, 0.946)
C (0.298, 0.500, 0.718)
N (0.975, 0.500, 0.452)

Summary:
- Raw total energy: -0.275 hartree per atom
- Crystal system: monoclinic
- Symmetry: No. 6


Record 2
DFT (PBE) results for AgAsBr2 after structural relaxation.

a b c (Å): 4.102 4.124 5.978
angles (deg): 90.00 90.00 90.00
Atoms (fractional coordinates):
Ag (0.000, 0.000, 0.000)
As (0.500, 0.500, 0.500)
Br (0.000, 0.000, 0.500)
Br (0.500, 0.500, 0.000)

Summary:
- Crystal system: orthorhombic
- Symmetry: No. 47
- E_form (uncorrected): 0.149 eV/atom


Record 3
DFT (PBE) results for SrPtCl after structural relaxation.

a b c (Å): 4.677 4.677 3.762
angles (deg): 90.00 90.00 120.00
Atoms (fractional coordinates):
Sr (0.000, 0.000, 0.000)
Pt (0.333, 0.667, 0.500)
Cl (0.667, 0.333, 0.500)

Summary:
- Crystal system: hexagonal
- Symmetry: No. 187
- E_form (uncorrected): -0.761 eV/atom


Record 4
DFT (PBE) results for K2RuPb2O6 after structural relaxation.

a b c (Å): 6.362 6.362 5.817
angles (deg): 97.45 97.45 116.75
Atoms (fractional coordinates):
K (0.151, 0.849, 0.000)
K (0.849, 0.151, 0.000)
Ru (0.500, 0.500, 0.000)
Pb (0.344, 0.656, 0.500)
Pb (0.656, 0.344, 0.500)
O (0.205, 0.459, 0.813)
O (0.331, 0.331, 0.255)
O (0.459, 0.205, 0.813)
O (0.541, 0.795, 0.187)
O (0.669, 0.669, 0.745)
O (0.795, 0.541, 0.187)

Summary:
- Crystal system: monoclinic
- Symmetry: No. 12
- E_form (uncorrected): -1.128 eV/atom


Record 5
DFT (PBE) results for LiGe3Pt3 after structural relaxation.

a b c (Å): 6.680 6.680 6.680
angles (deg): 67.81 67.81 67.81
Atoms (fractional coordinates):
Li (0.166, 0.166, 0.166)
Li (0.834, 0.834, 0.834)
Ge (0.112, 0.741, 0.450)
Ge (0.259, 0.550, 0.888)
Ge (0.450, 0.112, 0.741)
Ge (0.550, 0.888, 0.259)
Ge (0.741, 0.450, 0.112)
Ge (0.888, 0.259, 0.550)
Pt (0.060, 0.381, 0.754)
Pt (0.246, 0.940, 0.619)
Pt (0.381, 0.754, 0.060)
Pt (0.619, 0.246, 0.940)
Pt (0.754, 0.060, 0.381)
Pt (0.940, 0.619, 0.246)

Summary:
- Raw total energy: -0.194 hartree per atom
- Crystal system: trigonal
- Symmetry: No. 148


Record 6
DFT (PBE) results for PmDySc6 after structural relaxation.

a b c (Å): 6.800 6.800 5.323
angles (deg): 90.00 90.00 120.00
Atoms (fractional coordinates):
Pm (0.000, 0.000, 0.000)
Dy (0.333, 0.667, 0.500)
Sc (0.343, 0.171, 0.500)
Sc (0.504, 0.008, 0.000)
Sc (0.504, 0.496, 0.000)
Sc (0.829, 0.171, 0.500)
Sc (0.829, 0.657, 0.500)
Sc (0.992, 0.496, 0.000)

Summary:
- Raw total energy: -0.216 hartree per atom
- Crystal system: hexagonal
- Symmetry: No. 187


Record 7
DFT (PBE) results for BaLa3Mg after structural relaxation.

a b c (Å): 6.099 6.099 6.099
angles (deg): 90.00 90.00 90.00
Atoms (fractional coordinates):
Ba (0.000, 0.000, 0.000)
La (0.000, 0.500, 0.500)
La (0.500, 0.000, 0.500)
La (0.500, 0.500, 0.000)
Mg (0.500, 0.500, 0.500)

Summary:
- Raw total energy: -0.120 hartree per atom
- Crystal system: cubic
- Symmetry: No. 221


Record 8
DFT (PBE) results for Hg2PdPb after structural relaxation.

a b c (Å): 5.926 5.926 5.926
angles (deg): 46.44 46.44 46.44
Atoms (fractional coordinates):
Hg (0.000, 0.000, 0.000)
Hg (0.218, 0.218, 0.218)
Pd (0.617, 0.617, 0.617)
Pb (0.435, 0.435, 0.435)

Summary:
- Raw total energy: -0.088 hartree per atom
- Crystal system: trigonal
- Symmetry: No. 160


Record 9
DFT (PBE) results for LaTcSb2 after structural relaxation.

a b c (Å): 4.879 4.879 4.147
angles (deg): 90.00 90.00 98.62
Atoms (fractional coordinates):
La (0.000, 0.000, 0.000)
Tc (0.500, 0.500, 0.000)
Sb (0.000, 0.500, 0.500)
Sb (0.500, 0.000, 0.500)

Summary:
- Crystal system: orthorhombic
- Symmetry: No. 65
- E_form (uncorrected): -0.039 eV/atom


Record 10
DFT (PBE) results for La4Ho8Tm3 after structural relaxation.

a b c (Å): 9.305 9.305 6.764
angles (deg): 111.13 111.13 87.40
Atoms (fractional coordinates):
La (0.000, 0.000, 0.000)
La (0.000, 0.000, 0.500)
La (0.000, 0.500, 0.000)
La (0.500, 0.000, 0.000)
Ho (0.256, 0.744, 0.000)
Ho (0.269, 0.269, 0.515)
Ho (0.274, 0.274, 0.041)
Ho (0.364, 0.636, 0.500)
Ho (0.636, 0.364, 0.500)
Ho (0.726, 0.726, 0.959)
Ho (0.731, 0.731, 0.485)
Ho (0.744, 0.256, 0.000)
Tm (0.000, 0.500, 0.500)
Tm (0.500, 0.000, 0.500)
Tm (0.500, 0.500, 0.000)

Summary:
- Raw total energy: -0.158 hartree per atom
- Crystal system: monoclinic
- Symmetry: No. 12


Record 11
DFT (PBE) results for MnGaCoRuS after structural relaxation.

a b c (Å): 4.125 4.357 4.469
angles (deg): 111.20 98.19 105.60
Atoms (fractional coordinates):
Mn (0.000, 0.000, 0.000)
Ga (0.666, 0.192, 0.495)
Co (0.663, 0.440, 0.092)
Ru (0.353, 0.653, 0.605)
S (0.195, 0.570, 0.056)

Summary:
- Crystal system: triclinic
- Symmetry: No. 1
- E_form (uncorrected): -0.071 eV/atom


Record 12
DFT (PBE) results for Na3CrMo after structural relaxation.

a b c (Å): 5.685 5.685 5.685
angles (deg): 90.00 90.00 90.00
Atoms (fractional coordinates):
Na (0.000, 0.000, 0.500)
Na (0.000, 0.500, 0.000)
Na (0.500, 0.000, 0.000)
Cr (0.500, 0.500, 0.500)
Mo (0.000, 0.000, 0.000)

Summary:
- Raw total energy: -0.095 hartree per atom
- Crystal system: cubic
- Symmetry: No. 221


no.,mass density (g/cm³)
1,7.90
2,5.63
3,7.41
4,5.62
5,10.95
6,4.50
7,4.23
8,11.90
9,8.17
10,7.80
11,7.57
12,1.96